## CaHf2Ni2 (PBE-GGA)

Data for a geometry-optimized CaHf2Ni2 structure.

Summary:
**Formation energy**: -93 kJ/mol of formula units

a = 4.4608 Å, b = 4.4608 Å, c = 5.9778 Å
α = 68.09°, β = 68.09°, γ = 90.00°
Closest atoms and distances in Å follow each position.
Fractional coordinates of all 5 atoms:
Ca: 0.0000 0.0000 0.0000  8 Ni 3.37, 8 Hf 3.38
Ni: 0.6171 0.6171 0.7657  1 Ni 2.38, 4 Hf 2.61
Ni: 0.3829 0.3829 0.2343  1 Ni 2.38, 4 Hf 2.61
Hf: 0.7500 0.2500 0.5000  4 Ni 2.61
Hf: 0.2500 0.7500 0.5000  4 Ni 2.61

=====

## PmTm12Sc3 (PBE-GGA)

Data for a geometry-optimized PmTm12Sc3 structure.

Summary:
**Formation energy**: 64 kJ/mol of formula units

a = 4.8889 Å, b = 4.8889 Å, c = 19.5432 Å
α = 90.00°, β = 90.00°, γ = 90.00°
Closest atoms and distances in Å follow each position.
Fractional coordinates of all 16 atoms:
Sc: 0.0000 0.0000 0.7471  12 Tm 3.43-3.46
Sc: 0.0000 0.0000 0.2529  12 Tm 3.43-3.46
Sc: 0.0000 0.0000 0.5000  12 Tm 3.43-3.46
Tm: 0.5000 0.5000 0.7459  8 Tm 3.42-3.44, 4 Sc 3.46
Tm: 0.5000 0.5000 0.5000  8 Tm 3.43, 4 Sc 3.46
Tm: 0.5000 0.0000 0.3767  8 Tm 3.42-3.46, 4 Sc 3.43-3.44
Tm: 0.0000 0.5000 0.3767  8 Tm 3.42-3.46, 4 Sc 3.43-3.44
Tm: 0.5000 0.5000 0.2541  8 Tm 3.42-3.44, 4 Sc 3.46
Tm: 0.0000 0.5000 0.1299  2 Sc 3.43, 8 Tm 3.44-3.52, 2 Pm 3.52
Tm: 0.0000 0.5000 0.8701  2 Sc 3.43, 8 Tm 3.44-3.52, 2 Pm 3.52
Tm: 0.5000 0.0000 0.6233  8 Tm 3.42-3.46, 4 Sc 3.43-3.44
Tm: 0.5000 0.0000 0.8701  2 Sc 3.43, 8 Tm 3.44-3.52, 2 Pm 3.52
Tm: 0.0000 0.5000 0.6233  8 Tm 3.42-3.46, 4 Sc 3.43-3.44
Tm: 0.5000 0.0000 0.1299  2 Sc 3.43, 8 Tm 3.44-3.52, 2 Pm 3.52
Tm: 0.5000 0.5000 0.0000  4 Pm 3.46, 8 Tm 3.52
Pm: 0.0000 0.0000 0.0000  12 Tm 3.46-3.52

=====

## PtRh2W (PBE-GGA)

Data for a geometry-optimized PtRh2W structure.

Summary:
**Formation energy**: -94 kJ/mol of formula units

a = 4.7523 Å, b = 4.7523 Å, c = 4.7512 Å
α = 131.20°, β = 131.20°, γ = 71.51°
Closest atoms and distances in Å follow each position.
Fractional coordinates of all 4 atoms:
Rh: 0.0000 0.0000 0.0000  4 Pt 2.75, 4 W 2.75, 4 Rh 2.78
Rh: 0.5000 0.5000 0.0000  4 Pt 2.75, 4 W 2.75, 4 Rh 2.78
W: 0.7500 0.2500 0.5000  8 Rh 2.75, 4 Pt 2.78
Pt: 0.2500 0.7500 0.5000  8 Rh 2.75, 4 W 2.78

=====

## CaSbOs2Se (PBE-GGA)

Data for a geometry-optimized CaSbOs2Se structure.

Summary:
**Formation energy from raw total energies**: 2536 meV/atom

a = 4.8743 Å, b = 5.5513 Å, c = 4.8743 Å
α = 90.00°, β = 90.00°, γ = 90.00°
Closest atoms and distances in Å follow each position.
Fractional coordinates of all 5 atoms:
Se: 0.5000 0.5000 0.5000  4 Sb 3.45, 8 Os 3.69
Ca: 0.0000 0.0000 0.0000  4 Os 2.44
Os: 0.5000 0.0000 0.0000  2 Ca 2.44
Os: 0.0000 0.0000 0.5000  2 Ca 2.44
Sb: 0.0000 0.5000 0.0000  2 Ca 2.78

=====

| no. | total energy (eV/cell) |
| --- | --- |
| 1 | -34.433 |
| 2 | -76.740 |
| 3 | -34.673 |
| 4 | -19.389 |